Entry 1:
! HfMgSe3 (PBE, optimized geometry); values from VASP
! relative energy among the computed polymorphs: 612 meV per atom
! formation energy from raw total energies: -0.616 eV per atom
! symmetry: Pm-3m, No. 221
! volume: 27.669 Å³/atom
&SYSTEM
  ibrav = 0, nat = 5, ntyp = 3
/
ATOMIC_SPECIES
Se 78.96 Se.upf
Hf 178.49 Hf.upf
Mg 24.30 Mg.upf
ATOMIC_POSITIONS crystal
Se 0.0000 0.0000 0.5000
Se 0.5000 0.0000 0.0000
Hf 0.0000 0.0000 0.0000
Mg 0.5000 0.5000 0.5000
Se 0.0000 0.5000 0.0000
CELL_PARAMETERS angstrom
5.1720 0.0000 0.0000
0.0000 5.1720 0.0000
0.0000 0.0000 5.1720

---

Entry 2:
! HfMgSe3 (PBE, optimized geometry); values from VASP
! relative energy among the computed polymorphs: 1256 meV per atom
! formation energy from raw total energies: 0.028 eV per atom
! symmetry: Pm-3m, No. 221
! volume: 23.451 Å³/atom
&SYSTEM
  ibrav = 0, nat = 5, ntyp = 3
/
ATOMIC_SPECIES
Se 78.96 Se.upf
Mg 24.30 Mg.upf
Hf 178.49 Hf.upf
ATOMIC_POSITIONS crystal
Se 0.5000 0.0000 0.0000
Mg 0.0000 0.0000 0.0000
Se 0.0000 0.5000 0.0000
Hf 0.5000 0.5000 0.5000
Se 0.0000 0.0000 0.5000
CELL_PARAMETERS angstrom
-0.2347 0.7281 -4.8343
-0.8203 -4.7772 -0.6797
-4.8196 0.7776 0.3511

---

Entry 3:
! YHf2MgSe (PBE, optimized geometry); values from VASP
! formation energy from raw total energies: -0.076 eV per atom
! symmetry: P4/mmm, No. 123
! volume: 26.434 Å³/atom
&SYSTEM
  ibrav = 0, nat = 5, ntyp = 4
/
ATOMIC_SPECIES
Y 88.91 Y.upf
Se 78.96 Se.upf
Mg 24.30 Mg.upf
Hf 178.49 Hf.upf
ATOMIC_POSITIONS crystal
Y 0.0000 0.5000 0.0000
Se 0.0000 0.0000 0.0000
Mg 0.5000 0.5000 0.5000
Hf 0.0000 0.0000 0.5000
Hf 0.5000 0.0000 0.0000
CELL_PARAMETERS angstrom
4.9886 0.0000 0.0000
0.0000 5.3111 0.0000
0.0000 0.0000 4.9886

---

Entry 4:
! Hf3MgSi (PBE, optimized geometry); values from VASP
! relative energy among the computed polymorphs: 0 meV per atom
! formation energy from raw total energies: 0.192 eV per atom
! symmetry: Pm-3m, No. 221
! volume: 23.975 Å³/atom
&SYSTEM
  ibrav = 0, nat = 5, ntyp = 3
/
ATOMIC_SPECIES
Hf 178.49 Hf.upf
Si 28.09 Si.upf
Mg 24.30 Mg.upf
ATOMIC_POSITIONS crystal
Hf 0.0000 0.0000 0.5000
Si 0.0000 0.0000 0.0000
Mg 0.5000 0.5000 0.5000
Hf 0.5000 0.0000 0.0000
Hf 0.0000 0.5000 0.0000
CELL_PARAMETERS angstrom
4.9307 0.0000 0.0000
0.0000 4.9307 0.0000
0.0000 0.0000 4.9307